DFT (PBE-GGA) results for crystalline Na2TlSnCl5 at its relaxed geometry.

```
18
Lattice="4.310 0.000 0.000 -2.155 9.056 0.000 0.000 0.000 14.456" Properties=species:S:1:pos:R:3 pbc="T T T"
Na 0.000 3.087 3.368
Na 2.155 5.969 10.596
Na 0.000 2.510 10.244
Na 2.155 6.546 3.017
Cl 0.000 1.229 0.847
Cl 2.155 3.063 11.982
Cl 2.155 1.630 8.550
Cl 0.000 5.994 4.754
Cl 0.000 7.114 12.094
Cl 2.155 1.942 4.866
Cl 0.000 4.943 9.111
Cl 2.155 7.827 8.075
Cl 2.155 4.113 1.884
Cl 0.000 7.426 1.322
Sn 0.000 8.881 6.718
Sn 2.155 0.175 13.946
Tl 0.000 4.445 14.047
Tl 2.155 4.612 6.819
```

* space group: Cmc2_1, No. 36

DFT (PBE-GGA) results for crystalline Na2TlSn2Cl7 at its relaxed geometry.

```
12
Lattice="-2.592 1.174 -4.943 -5.014 -1.781 2.207 1.609 11.082 5.079" Properties=species:S:1:pos:R:3 pbc="T T T"
Na -3.560 4.462 2.927
Na -2.369 6.038 -0.614
Cl -2.810 8.820 0.277
Cl -1.103 5.568 1.901
Cl -3.317 -0.130 -1.582
Cl -4.283 7.019 3.913
Cl -2.024 3.347 -1.435
Cl -2.885 1.763 1.932
Cl -4.838 4.928 0.417
Sn -4.244 2.351 -0.507
Sn -1.567 8.191 2.767
Tl -0.791 -0.281 0.348
```

* space group: Imm2, No. 44

DFT (PBE-GGA) results for crystalline Na2Tl3SnCl6 at its relaxed geometry.

```
12
Lattice="7.021 -0.009 -0.009 -3.517 6.076 -0.009 -1.178 -2.040 8.160" Properties=species:S:1:pos:R:3 pbc="T T T"
Cl 2.355 -0.003 1.628
Cl -0.030 4.031 6.513
Cl 2.329 4.032 1.600
Cl -0.003 -0.005 6.541
Cl 3.506 1.989 6.513
Cl -1.180 2.038 1.628
Tl 1.163 2.014 4.071
Tl -2.363 4.050 4.071
Tl 4.689 -0.023 4.071
Na 3.511 2.018 -0.009
Na -0.007 4.049 -0.009
Sn 0.000 0.000 0.000
```

* space group: C2/m, No. 12

DFT (PBE-GGA) results for crystalline Na2TlSnCl8 at its relaxed geometry.

```
12
Lattice="6.397 -0.306 -0.003 -0.294 6.258 -0.007 0.005 0.009 8.752" Properties=species:S:1:pos:R:3 pbc="T T T"
Cl 4.120 4.117 4.369
Cl 1.987 1.844 4.373
Cl 0.737 4.878 1.784
Cl 5.368 1.077 1.786
Cl 1.995 1.458 -0.003
Cl 0.740 4.883 6.956
Cl 4.113 4.503 8.745
Cl 5.371 1.083 6.958
Tl 0.003 0.005 4.376
Na 3.053 2.978 2.089
Na 3.055 2.983 6.653
Sn 0.000 0.000 0.000
```

* space group: P2/m, No. 10

DFT (PBE-GGA) results for crystalline NaTmSnCl6 at its relaxed geometry.

```
18
Lattice="6.957 0.000 0.000 -3.478 6.025 0.000 0.000 0.000 12.313" Properties=species:S:1:pos:R:3 pbc="T T T"
Cl -2.157 4.007 10.720
Cl 2.408 0.135 1.593
Cl 5.636 2.017 1.593
Cl 2.157 4.007 7.749
Cl 2.392 3.872 1.593
Cl -1.087 2.153 7.749
Cl 1.071 5.889 10.720
Cl -1.071 5.889 7.749
Cl 4.549 0.135 4.563
Cl 4.565 3.872 4.563
Cl 1.087 2.153 10.720
Cl 1.321 2.017 4.563
Tm 3.478 2.008 3.078
Tm 0.000 4.016 9.235
Sn 0.000 0.000 6.156
Sn 0.000 0.000 0.000
Na 0.000 4.016 3.078
Na 3.478 2.008 9.235
```

* space group: P-31c, No. 163

DFT (PBE-GGA) results for crystalline NaUSnCl6 at its relaxed geometry.

```
18
Lattice="7.107 0.000 0.000 -3.553 6.154 0.000 0.000 0.000 12.492" Properties=species:S:1:pos:R:3 pbc="T T T"
Cl 1.160 2.127 10.895
Cl 2.394 4.027 1.597
Cl 2.422 0.059 1.597
Cl 2.291 4.087 7.843
Cl 5.844 2.068 1.597
Cl -1.131 6.095 7.843
Cl 4.685 0.059 4.649
Cl 4.713 4.027 4.649
Cl 1.131 6.095 10.895
Cl 1.262 2.068 4.649
Cl -2.291 4.087 10.895
Cl -1.160 2.127 7.843
Sn 0.000 0.000 0.000
Sn 0.000 0.000 6.246
U 3.553 2.051 3.123
U 0.000 4.103 9.369
Na 3.553 2.051 9.369
Na 0.000 4.103 3.123
```

* space group: P-31c, No. 163

DFT (PBE-GGA) results for crystalline Na2VSnCl8 at its relaxed geometry.

```
12
Lattice="6.507 -0.203 -0.004 -0.200 6.214 -0.007 0.004 0.009 7.945" Properties=species:S:1:pos:R:3 pbc="T T T"
Cl 4.452 4.591 7.937
Cl 0.801 4.919 1.714
Cl 4.249 4.378 3.965
Cl 5.510 1.101 6.221
Cl 1.858 1.429 -0.003
Cl 0.803 4.925 6.219
Cl 2.061 1.643 3.969
Cl 5.507 1.096 1.715
Na 3.156 3.013 6.035
Na 3.154 3.008 1.900
V 0.000 0.000 0.000
Sn 0.002 0.005 3.972
```

* space group: P2/m, No. 10

DFT (PBE-GGA) results for crystalline NaVSnCl6 at its relaxed geometry.

```
18
Lattice="6.744 0.000 0.000 -3.372 5.841 0.000 0.000 0.000 11.825" Properties=species:S:1:pos:R:3 pbc="T T T"
Cl -0.988 2.202 7.477
Cl -0.971 5.595 7.477
Cl 1.413 1.957 4.348
Cl 2.402 0.245 1.565
Cl 5.331 1.957 1.565
Cl 4.343 0.245 4.348
Cl 4.360 3.638 4.348
Cl 2.384 3.638 1.565
Cl 1.959 3.884 7.477
Cl 0.971 5.595 10.261
Cl -1.959 3.884 10.261
Cl 0.988 2.202 10.261
Na 3.372 1.947 8.869
Na 0.000 3.894 2.956
V 3.372 1.947 2.956
V 0.000 3.894 8.869
Sn 0.000 0.000 5.913
Sn 0.000 0.000 0.000
```

* space group: P-31c, No. 163

Number 1: formation energy without anion corrections -1.306 eV per atom. Number 2: formation energy without anion corrections -1.265 eV per atom. Number 3: formation energy without anion corrections -1.122 eV per atom. Number 4: formation energy without anion corrections -1.143 eV per atom. Number 5: formation energy without anion corrections -1.745 eV per atom. Number 6: formation energy without anion corrections -1.467 eV per atom. Number 7: formation energy without anion corrections -1.288 eV per atom. Number 8: formation energy without anion corrections -1.247 eV per atom.